[1]
PBE CsCaNbAg2, optimized geometry; symmetry = No. 123; formation enthalpy at 0 K = 903 kJ/mol of formula units; V = 184.7 Å³/cell; magnetic moment = 0.699 μB/atom
1.0
5.6221 0.0000 0.0000
0.0000 5.6221 0.0000
0.0000 0.0000 5.8426
Cs Ca Nb Ag
1 1 1 2
direct
0.0000 0.0000 0.0000
0.0000 0.0000 0.5000
0.5000 0.5000 0.5000
0.0000 0.5000 0.0000
0.5000 0.0000 0.0000

---

[2]
PBE Ba4TlHg, optimized geometry; symmetry = No. 216; formation enthalpy at 0 K = 146 kJ/mol of formula units; V = 283.0 Å³/cell; magnetic moment = 0.000 μB/atom
1.0
0.0000 5.2109 5.2109
5.2109 0.0000 5.2109
5.2109 5.2109 0.0000
Ba Tl Hg
4 1 1
direct
0.1253 0.1253 0.1253
0.1253 0.1253 0.6241
0.1253 0.6241 0.1253
0.6241 0.1253 0.1253
0.5000 0.5000 0.5000
0.7500 0.7500 0.7500

---

[3]
PBE MoS3, optimized geometry; symmetry = No. 6; V = 83.9 Å³/cell; VASP energy = -5.735 eV per atom; magnetic moment = 0.000 μB/atom
1.0
3.4317 0.0000 0.0000
0.0000 3.0606 0.0000
-0.4342 0.0000 7.9851
Mo S
1 3
direct
0.0000 0.0000 0.0000
0.2368 0.5000 0.5745
0.5082 0.5000 0.1091
0.9421 0.0000 0.7240

---

[4]
PBE Ce8AgIr5, optimized geometry; symmetry = No. 82; formation enthalpy at 0 K = -801 kJ/mol of formula units; V = 338.1 Å³/cell; magnetic moment = 0.297 μB/atom
1.0
-4.4238 4.4238 4.3196
4.4238 -4.4238 4.3196
4.4238 4.4238 -4.3196
Ce Ag Ir
8 1 5
direct
0.0072 0.1194 0.7670
0.2685 0.5072 0.6319
0.3524 0.2402 0.2330
0.3634 0.7315 0.2387
0.4928 0.1247 0.7613
0.7598 0.9928 0.1123
0.8753 0.6366 0.3681
0.8806 0.6476 0.8877
0.7500 0.2500 0.5000
0.1330 0.0150 0.3880
0.2550 0.8670 0.8820
0.5000 0.5000 0.0000
0.6270 0.7450 0.6120
0.9850 0.3730 0.1180

---

[5]
PBE Cs3Ac2NpSe6, optimized geometry; symmetry = No. 12; V = 453.1 Å³/cell; VASP energy = -5.316 eV per atom; magnetic moment = 0.333 μB/atom
1.0
3.9466 -6.8362 0.0000
3.9466 6.8362 0.0000
-2.6330 0.0000 8.3976
Cs Ac Np Se
3 2 1 6
direct
0.0000 0.0000 0.0000
0.3314 0.6686 0.0000
0.6686 0.3314 0.0000
0.1665 0.8335 0.5000
0.8335 0.1665 0.5000
0.5000 0.5000 0.5000
0.1164 0.4360 0.3079
0.2450 0.2450 0.6931
0.4360 0.1164 0.3079
0.5640 0.8836 0.6921
0.7550 0.7550 0.3069
0.8836 0.5640 0.6921

---

[6]
PBE Gd2YCo, optimized geometry; symmetry = No. 123; formation enthalpy at 0 K = -8 kJ/mol of formula units; V = 105.2 Å³/cell; magnetic moment = 3.347 μB/atom
1.0
3.4290 0.0000 0.0000
0.0000 3.4290 0.0000
0.0000 0.0000 8.9488
Gd Y Co
2 1 1
direct
0.0000 0.0000 0.1823
0.0000 0.0000 0.8177
0.5000 0.5000 0.5000
0.5000 0.5000 0.0000

---

[7]
PBE Ag2I2Cl5, optimized geometry; symmetry = No. 12; V = 327.5 Å³/cell; VASP energy = -2.253 eV per atom; magnetic moment = 0.000 μB/atom
1.0
7.6957 -2.5907 0.0000
7.6957 2.5907 0.0000
-6.6828 0.0000 8.2139
Ag I Cl
2 2 5
direct
0.1357 0.1357 0.4064
0.8643 0.8643 0.5936
0.0941 0.0941 0.8533
0.9059 0.9059 0.1467
0.0000 0.0000 0.0000
0.1778 0.1778 0.7200
0.3476 0.3476 0.5843
0.6524 0.6524 0.4157
0.8222 0.8222 0.2800

---

[8]
PBE Al2SiAs, optimized geometry; symmetry = No. 65; V = 135.4 Å³/cell; VASP energy = -4.213 eV per atom; magnetic moment = 0.000 μB/atom
1.0
5.4980 0.0000 0.0000
0.0000 7.0574 0.0000
0.0000 0.0000 3.4898
Al Si As
4 2 2
direct
0.2500 0.2500 0.0000
0.2500 0.7500 0.0000
0.7500 0.2500 0.0000
0.7500 0.7500 0.0000
0.0000 0.0000 0.5000
0.5000 0.5000 0.5000
0.0000 0.5000 0.5000
0.5000 0.0000 0.5000

---

[9]
PBE Ba2LaSc, optimized geometry; symmetry = No. 44; formation enthalpy at 0 K = 110 kJ/mol of formula units; V = 347.2 Å³/cell; magnetic moment = 0.000 μB/atom
1.0
4.0402 0.0000 0.0000
0.0000 6.5132 0.0000
0.0000 0.0000 13.1930
Ba La Sc
4 2 2
direct
0.0000 0.0000 0.0000
0.0000 0.5000 0.2144
0.5000 0.0000 0.7144
0.5000 0.5000 0.5000
0.0000 0.5000 0.7808
0.5000 0.0000 0.2808
0.0000 0.0000 0.4786
0.5000 0.5000 0.9786

---

[10]
PBE FeCuSe2, optimized geometry; symmetry = No. 38; V = 149.5 Å³/cell; VASP energy = -4.929 eV per atom; magnetic moment = 0.798 μB/atom
1.0
4.7216 0.0000 0.0000
0.0000 4.7706 0.0000
0.0000 0.0000 6.6349
Fe Cu Se
2 2 4
direct
0.0000 0.0000 0.0000
0.0000 0.5000 0.5000
0.5000 0.0000 0.7633
0.5000 0.5000 0.2633
0.0000 0.0000 0.6302
0.0000 0.5000 0.1302
0.5000 0.0000 0.1318
0.5000 0.5000 0.6318

---

[11]
PBE CuN, optimized geometry; symmetry = No. 40; V = 89.9 Å³/cell; VASP energy = -5.212 eV per atom; magnetic moment = 0.000 μB/atom
1.0
3.7387 0.0000 0.0000
0.0000 6.3060 0.0000
0.0000 0.0000 3.8134
Cu N
4 4
direct
0.2500 0.1612 0.0000
0.2500 0.6612 0.5000
0.7500 0.3388 0.5000
0.7500 0.8388 0.0000
0.2500 0.3575 0.6209
0.2500 0.8575 0.1209
0.7500 0.1425 0.1209
0.7500 0.6425 0.6209

---

[12]
PBE TbSm4Mg2, optimized geometry; symmetry = No. 166; formation enthalpy at 0 K = 184 kJ/mol of formula units; V = 242.1 Å³/cell; magnetic moment = 0.000 μB/atom
1.0
2.7987 1.6158 8.9229
-2.7987 1.6158 8.9229
0.0000 -3.2316 8.9229
Tb Sm Mg
1 4 2
direct
0.0000 0.0000 0.0000
0.2436 0.2436 0.2436
0.3697 0.3697 0.3697
0.6303 0.6303 0.6303
0.7564 0.7564 0.7564
0.1222 0.1222 0.1222
0.8778 0.8778 0.8778